--- one ---
MgB7: relaxed, PBE.

Structure (POSCAR):
```
MgB7
1.0
-0.816 5.636 -4.507
-5.535 2.660 3.878
6.963 -1.141 1.719
B Mg
28 4
Direct
0.773 0.592 0.492
0.906 0.582 0.324
0.809 0.334 0.476
0.094 0.418 0.676
0.600 0.781 0.508
0.623 0.324 0.791
0.358 0.834 0.524
0.600 0.092 0.819
0.033 0.331 0.209
0.400 0.908 0.181
0.241 0.918 0.324
0.642 0.166 0.476
0.967 0.176 0.298
0.974 0.859 0.115
0.244 0.359 0.885
0.227 0.719 0.819
0.967 0.669 0.791
0.623 0.831 0.298
0.377 0.676 0.209
0.756 0.641 0.115
0.033 0.824 0.702
0.759 0.082 0.676
0.227 0.408 0.508
0.191 0.666 0.524
0.773 0.281 0.181
0.377 0.169 0.702
0.026 0.141 0.885
0.400 0.219 0.492
0.000 0.000 0.500
0.000 0.500 0.000
0.614 0.750 0.864
0.386 0.250 0.136
```

Computed properties:
Symmetry: Imma, No. 74
Size of the total moment, μB/f.u.: 0.00

=====

--- two ---
MgB7: relaxed, PBE.

Structure (POSCAR):
```
MgB7
1.0
4.166 -0.687 0.436
0.535 3.754 0.992
-0.390 -0.010 3.900
B Mg
7 1
Direct
0.000 0.500 0.500
0.624 0.578 0.187
0.376 0.813 0.422
0.624 0.187 0.578
0.376 0.422 0.813
0.310 0.290 0.290
0.690 0.710 0.710
0.000 0.000 0.000
```

Computed properties:
Symmetry: C2/m, No. 12
Size of the total moment, μB/f.u.: 0.00

=====

Name the most stable of them. one.

=====

--- one ---
MgMnB3: relaxed, PBE.

Structure (POSCAR):
```
MgMnB3
1.0
-0.186 -3.751 0.639
3.523 -0.412 -1.392
1.439 0.523 3.488
Mg B Mn
1 3 1
Direct
0.500 0.500 0.500
0.000 0.000 0.500
0.500 0.000 0.000
0.000 0.500 0.000
0.000 0.000 0.000
```

Computed properties:
Symmetry: Pm-3m, No. 221
Size of the total moment, μB/f.u.: 0.00

=====

--- two ---
MgMnB3: relaxed, PBE.

Structure (POSCAR):
```
MgMnB3
1.0
-1.120 -3.737 -1.310
1.538 0.844 -3.722
3.649 -1.502 1.167
Mg B Mn
1 3 1
Direct
0.000 0.000 0.000
0.000 0.000 0.500
0.500 0.000 0.000
0.000 0.500 0.000
0.500 0.500 0.500
```

Computed properties:
Symmetry: Pm-3m, No. 221
Size of the total moment, μB/f.u.: 0.06

=====

Name the most stable of them. one.